[1]
First-principles (PBE) data for Sr2CaSnS after structural relaxation, as listed in Alexandria via LeMat-Bulk.

abc: 5.6470 5.6470 5.3618
angles: 90.00 90.00 90.00
Positions (direct):
1 S 0.0000 0.0000 0.0000
2 Sr 0.0000 0.5000 0.0000
3 Sr 0.5000 0.0000 0.0000
4 Ca 0.0000 0.0000 0.5000
5 Sn 0.5000 0.5000 0.5000

Output
- Magnetization: 0.000 μB/f.u.
- Energy relative to the elements, uncorrected: -1079 meV per atom
- Density: 3.6 g cm⁻³

[2]
First-principles (PBE) data for Sr3Ca3SnS8 after structural relaxation, as listed in Alexandria via LeMat-Bulk.

abc: 8.2078 8.2073 8.3343
angles: 119.50 90.00 120.00
Positions (direct):
1 Sr 0.0000 0.0000 0.0000
2 Sr 0.0000 0.5000 0.0000
3 Sr 0.5000 0.5000 0.0000
4 Ca 0.5000 0.0000 0.5000
5 Ca 0.5000 0.5000 0.5000
6 Ca 0.0000 0.5000 0.5000
7 Sn 0.0000 0.0000 0.5000
8 S 0.2545 0.5089 0.2634
9 S 0.7455 0.4911 0.7366
10 S 0.7746 0.5492 0.2836
11 S 0.2254 0.4508 0.7164
12 S 0.7746 0.0090 0.2836
13 S 0.2254 0.9910 0.7164
14 S 0.2344 0.0090 0.2836
15 S 0.7656 0.9910 0.7164

Output
- Magnetization: 0.000 μB/f.u.
- Energy relative to the elements, uncorrected: -1783 meV per atom
- Density: 3.1 g cm⁻³

[3]
First-principles (PBE) data for SrCa2SnS4 after structural relaxation, as listed in Alexandria via LeMat-Bulk.

abc: 4.1300 7.2012 7.1450
angles: 70.63 90.00 90.00
Positions (direct):
1 Sr 0.5000 0.5000 0.0000
2 Ca 0.0000 0.0000 0.0000
3 Ca 0.5000 0.0000 0.5000
4 Sn 0.0000 0.5000 0.5000
5 S 0.0000 0.7627 0.7441
6 S 0.0000 0.2373 0.2559
7 S 0.5000 0.7623 0.2475
8 S 0.5000 0.2377 0.7525

Output
- Magnetization: 0.000 μB/f.u.
- Energy relative to the elements, uncorrected: -1693 meV per atom
- Density: 3.4 g cm⁻³

[4]
First-principles (PBE) data for CaTb4SnS8 after structural relaxation, as listed in Alexandria via LeMat-Bulk.

abc: 8.1577 8.1577 8.2265
angles: 60.28 60.28 60.00
Positions (direct):
1 Ca 0.3763 0.3763 0.8710
2 Tb 0.6232 0.6232 0.1303
3 Tb 0.0022 0.4954 0.5002
4 Tb 0.4954 0.0022 0.5002
5 Tb 0.0022 0.0022 0.5002
6 Sn 0.0055 0.0055 0.9835
7 S 0.2441 0.7827 0.7290
8 S 0.7827 0.2441 0.7290
9 S 0.2441 0.2441 0.7290
10 S 0.2402 0.2402 0.2795
11 S 0.7478 0.2309 0.2735
12 S 0.2309 0.7478 0.2735
13 S 0.7478 0.7478 0.2735
14 S 0.7575 0.7575 0.7275

Output
- Magnetization: 0.000 μB/f.u.
- Energy relative to the elements, uncorrected: -1776 meV per atom
- Density: 4.5 g cm⁻³

[5]
First-principles (PBE) data for Ca2TbSnS4 after structural relaxation, as listed in Alexandria via LeMat-Bulk.

abc: 4.0128 7.0566 6.9729
angles: 109.34 90.00 90.00
Positions (direct):
1 Ca 0.5000 0.0000 0.5000
2 Ca 0.0000 0.5000 0.5000
3 Tb 0.5000 0.5000 0.0000
4 Sn 0.0000 0.0000 0.0000
5 S 0.5000 0.2595 0.2517
6 S 0.5000 0.7405 0.7483
7 S 0.0000 0.2566 0.7523
8 S 0.0000 0.7434 0.2477

Output
- Magnetization: 0.000 μB/f.u.
- Energy relative to the elements, uncorrected: -1610 meV per atom
- Density: 4.3 g cm⁻³

[6]
First-principles (PBE) data for CaTiSn2S after structural relaxation, as listed in Alexandria via LeMat-Bulk.

abc: 5.1866 5.1866 5.9569
angles: 90.00 90.00 90.00
Positions (direct):
1 S 0.5000 0.5000 0.5000
2 Ca 0.0000 0.0000 0.5000
3 Sn 0.0000 0.5000 0.0000
4 Sn 0.5000 0.0000 0.0000
5 Ti 0.0000 0.0000 0.0000

Output
- Magnetization: 1.924 μB/f.u.
- Energy relative to the elements, uncorrected: 366 meV per atom
- Density: 3.7 g cm⁻³

[7]
First-principles (PBE) data for Ca2Tl3SnS6 after structural relaxation, as listed in Alexandria via LeMat-Bulk.

abc: 7.0855 7.0855 7.4862
angles: 99.44 99.44 120.07
Positions (direct):
1 Ca 0.3357 0.6643 0.0000
2 Ca 0.6643 0.3357 0.0000
3 Tl 0.1705 0.8295 0.5000
4 Tl 0.8295 0.1705 0.5000
5 Tl 0.5000 0.5000 0.5000
6 Sn 0.0000 0.0000 0.0000
7 S 0.9298 0.6235 0.7979
8 S 0.7631 0.7631 0.2144
9 S 0.0702 0.3765 0.2021
10 S 0.6235 0.9298 0.7979
11 S 0.2369 0.2369 0.7856
12 S 0.3765 0.0702 0.2021

Output
- Magnetization: 0.000 μB/f.u.
- Energy relative to the elements, uncorrected: -895 meV per atom
- Density: 5.4 g cm⁻³

[8]
First-principles (PBE) data for Ca2VSnS after structural relaxation, as listed in Alexandria via LeMat-Bulk.

abc: 5.8254 5.0585 5.8254
angles: 90.00 90.00 90.00
Positions (direct):
1 S 0.5000 0.5000 0.5000
2 Ca 0.0000 0.0000 0.5000
3 Ca 0.5000 0.0000 0.0000
4 Sn 0.0000 0.0000 0.0000
5 V 0.0000 0.5000 0.0000

Output
- Magnetization: 3.001 μB/f.u.
- Energy relative to the elements, uncorrected: 180 meV per atom
- Density: 2.7 g cm⁻³

[9]
First-principles (PBE) data for CaSnW2S after structural relaxation, as listed in Alexandria via LeMat-Bulk.

abc: 4.5092 5.0892 4.5092
angles: 90.00 90.00 90.00
Positions (direct):
1 S 0.0000 0.0000 0.0000
2 Ca 0.0000 0.5000 0.0000
3 Sn 0.5000 0.5000 0.5000
4 W 0.0000 0.0000 0.5000
5 W 0.5000 0.0000 0.0000

Output
- Magnetization: 0.000 μB/f.u.
- Energy relative to the elements, uncorrected: 515 meV per atom
- Density: 9.0 g cm⁻³

[10]
First-principles (PBE) data for Sr2CaS2 after structural relaxation, as listed in Alexandria via LeMat-Bulk.

abc: 7.9705 7.9705 4.2634
angles: 90.00 90.00 90.00
Positions (direct):
1 Sr 0.1562 0.6562 0.5000
2 Sr 0.6562 0.8438 0.5000
3 Sr 0.8438 0.3438 0.5000
4 Sr 0.3438 0.1562 0.5000
5 Ca 0.0000 0.0000 0.0000
6 Ca 0.5000 0.5000 0.0000
7 S 0.3424 0.8424 0.0000
8 S 0.8424 0.6576 0.0000
9 S 0.6576 0.1576 0.0000
10 S 0.1576 0.3424 0.0000

Output
- Magnetization: 0.000 μB/f.u.
- Energy relative to the elements, uncorrected: -1531 meV per atom
- Density: 3.4 g cm⁻³

[11]
First-principles (PBE) data for SrCaS2 after structural relaxation, as listed in Alexandria via LeMat-Bulk.

abc: 4.0854 4.0854 7.5447
angles: 74.29 74.29 60.00
Positions (direct):
1 Sr 0.6679 0.6679 0.9962
2 Ca 0.4986 0.4986 0.5043
3 S 0.0859 0.0859 0.7423
4 S 0.2476 0.2476 0.2572

Output
- E above lowest polymorph: 0.116 eV/atom
- Magnetization: 0.000 μB/f.u.
- Energy relative to the elements, uncorrected: -2025 meV per atom
- Density: 3.1 g cm⁻³

[12]
First-principles (PBE) data for SrCaS2 after structural relaxation, as listed in Alexandria via LeMat-Bulk.

abc: 8.5914 8.5914 8.5914
angles: 29.38 29.38 29.38
Positions (direct):
1 Sr 0.0000 0.0000 0.0000
2 Ca 0.5000 0.5000 0.5000
3 S 0.8910 0.8910 0.8910
4 S 0.1090 0.1090 0.1090

Output
- E above lowest polymorph: 0.837 eV/atom
- Magnetization: 0.000 μB/f.u.
- Energy relative to the elements, uncorrected: -1304 meV per atom
- Density: 2.4 g cm⁻³

[13]
First-principles (PBE) data for Sr2CaS after structural relaxation, as listed in Alexandria via LeMat-Bulk.

abc: 10.8850 10.8850 8.1736
angles: 48.25 48.25 90.00
Positions (direct):
1 Sr 0.4839 0.1250 0.2500
2 Sr 0.2661 0.6250 0.2500
3 Sr 0.3750 0.5161 0.7500
4 Sr 0.8750 0.7339 0.7500
5 Ca 0.0000 0.0000 0.0000
6 Ca 0.7500 0.2500 0.5000
7 S 0.5000 0.5000 0.0000
8 S 0.2500 0.7500 0.5000

Output
- Magnetization: 0.000 μB/f.u.
- Energy relative to the elements, uncorrected: -784 meV per atom
- Density: 2.5 g cm⁻³

[14]
First-principles (PBE) data for SrCa5S6 after structural relaxation, as listed in Alexandria via LeMat-Bulk.

abc: 7.0745 7.0776 7.0767
angles: 60.00 80.40 70.52
Positions (direct):
1 Sr 0.0000 0.0000 0.0000
2 Ca 0.5000 0.1664 0.6672
3 Ca 0.0000 0.3330 0.3340
4 Ca 0.5000 0.5000 0.0000
5 Ca 0.0000 0.6670 0.6660
6 Ca 0.5000 0.8336 0.3328
7 S 0.7459 0.0848 0.3412
8 S 0.2541 0.5739 0.3412
9 S 0.2553 0.2562 0.0000
10 S 0.7447 0.7438 0.0000
11 S 0.7459 0.4261 0.6588
12 S 0.2541 0.9152 0.6588

Output
- Magnetization: 0.000 μB/f.u.
- Energy relative to the elements, uncorrected: -2145 meV per atom
- Density: 2.8 g cm⁻³

[15]
First-principles (PBE) data for Sr2Ca2S after structural relaxation, as listed in Alexandria via LeMat-Bulk.

abc: 7.6725 7.6725 7.0255
angles: 90.00 90.00 90.00
Positions (direct):
1 Sr 0.1700 0.6700 0.5000
2 Sr 0.6700 0.8300 0.5000
3 Sr 0.8300 0.3300 0.5000
4 Sr 0.3300 0.1700 0.5000
5 Ca 0.3219 0.8219 0.0000
6 Ca 0.8219 0.6781 0.0000
7 Ca 0.6781 0.1781 0.0000
8 Ca 0.1781 0.3219 0.0000
9 S 0.0000 0.0000 0.0000
10 S 0.5000 0.5000 0.0000

Output
- E above lowest polymorph: 0.000 eV/atom
- Magnetization: 0.000 μB/f.u.
- Energy relative to the elements, uncorrected: -489 meV per atom
- Density: 2.3 g cm⁻³

[16]
First-principles (PBE) data for SrCa2S after structural relaxation, as listed in Alexandria via LeMat-Bulk.

abc: 9.7408 9.7408 7.5538
angles: 49.85 49.85 90.00
Positions (direct):
1 Sr 0.0000 0.0000 0.0000
2 Sr 0.7500 0.2500 0.5000
3 Ca 0.5080 0.1250 0.2500
4 Ca 0.2420 0.6250 0.2500
5 Ca 0.3750 0.4920 0.7500
6 Ca 0.8750 0.7580 0.7500
7 S 0.5000 0.5000 0.0000
8 S 0.2500 0.7500 0.5000

Output
- Magnetization: 0.000 μB/f.u.
- Energy relative to the elements, uncorrected: -761 meV per atom
- Density: 2.3 g cm⁻³

[17]
First-principles (PBE) data for Sr5CaS6 after structural relaxation, as listed in Alexandria via LeMat-Bulk.

abc: 7.3576 7.3603 7.3600
angles: 60.00 80.40 70.52
Positions (direct):
1 Sr 0.5000 0.1668 0.6663
2 Sr 0.0000 0.3334 0.3332
3 Sr 0.5000 0.5000 0.0000
4 Sr 0.0000 0.6666 0.6668
5 Sr 0.5000 0.8332 0.3337
6 Ca 0.0000 0.0000 0.0000
7 S 0.7541 0.0820 0.3259
8 S 0.2459 0.5921 0.3259
9 S 0.2448 0.2439 0.0000
10 S 0.7552 0.7561 0.0000
11 S 0.7541 0.4079 0.6741
12 S 0.2459 0.9180 0.6741

Output
- Magnetization: 0.000 μB/f.u.
- Energy relative to the elements, uncorrected: -2143 meV per atom
- Density: 3.4 g cm⁻³

[18]
First-principles (PBE) data for SrCaS3 after structural relaxation, as listed in Alexandria via LeMat-Bulk.

abc: 5.4227 5.4227 5.4227
angles: 90.00 90.00 90.00
Positions (direct):
1 Sr 0.0000 0.0000 0.0000
2 Ca 0.5000 0.5000 0.5000
3 S 0.0000 0.5000 0.0000
4 S 0.0000 0.0000 0.5000
5 S 0.5000 0.0000 0.0000

Output
- E above lowest polymorph: 0.391 eV/atom
- Magnetization: 2.000 μB/f.u.
- Energy relative to the elements, uncorrected: -585 meV per atom
- Density: 2.3 g cm⁻³

[19]
First-principles (PBE) data for SrCaS2 after structural relaxation, as listed in Alexandria via LeMat-Bulk.

abc: 6.4916 6.4916 7.9343
angles: 65.85 65.85 90.00
Positions (direct):
1 Sr 0.0000 0.0000 0.0000
2 Sr 0.7500 0.2500 0.5000
3 Ca 0.5000 0.5000 0.0000
4 Ca 0.2500 0.7500 0.5000
5 S 0.6048 0.1250 0.2500
6 S 0.1452 0.6250 0.2500
7 S 0.3750 0.3952 0.7500
8 S 0.8750 0.8548 0.7500

Output
- E above lowest polymorph: 0.257 eV/atom
- Magnetization: 0.000 μB/f.u.
- Energy relative to the elements, uncorrected: -1884 meV per atom
- Density: 2.3 g cm⁻³

[20]
First-principles (PBE) data for SrCaS2 after structural relaxation, as listed in Alexandria via LeMat-Bulk.

abc: 4.1139 4.1139 13.9292
angles: 90.00 90.00 120.00
Positions (direct):
1 Sr 0.6667 0.3333 0.2500
2 Sr 0.3333 0.6667 0.7500
3 Ca 0.0000 0.0000 0.5000
4 Ca 0.0000 0.0000 0.0000
5 S 0.3333 0.6667 0.3832
6 S 0.6667 0.3333 0.8832
7 S 0.6667 0.3333 0.6168
8 S 0.3333 0.6667 0.1168

Output
- E above lowest polymorph: 0.045 eV/atom
- Magnetization: 0.000 μB/f.u.
- Energy relative to the elements, uncorrected: -2096 meV per atom
- Density: 3.1 g cm⁻³